Record 1
Below is a geometry-optimized CsSr2N structure, with properties calculated at the PBE-GGA level.

CIF file:
```
data_CsSr2N
_cell_length_a 8.173
_cell_length_b 8.173
_cell_length_c 11.568
_cell_angle_alpha 90.00
_cell_angle_beta 90.00
_cell_angle_gamma 90.00
_symmetry_space_group_name_H-M 'I -4 2 d'
_symmetry_Int_Tables_number 122
_symmetry_space_group_name_Hall 'I -4 2bw'
loop_
_atom_site_label
_atom_site_type_symbol
_atom_site_fract_x
_atom_site_fract_y
_atom_site_fract_z
Cs1 Cs 0.000 0.000 0.000
Sr1 Sr 0.002 0.250 0.625
N1 N 0.000 0.000 0.500
```

Output
Energy relative to the elements, uncorrected   -136.4 meV per atom
E   -3.27 eV per atom

***

Record 2
Below is a geometry-optimized CsSrN structure, with properties calculated at the PBE-GGA level.

CIF file:
```
data_CsSrN
_cell_length_a 4.639
_cell_length_b 5.103
_cell_length_c 12.057
_cell_angle_alpha 90.00
_cell_angle_beta 92.73
_cell_angle_gamma 90.00
_symmetry_space_group_name_H-M 'P 1 m 1'
_symmetry_Int_Tables_number 6
loop_
_symmetry_equiv_pos_as_xyz
'x,y,z'
'x,-y,z'
loop_
_atom_site_label
_atom_site_type_symbol
_atom_site_fract_x
_atom_site_fract_y
_atom_site_fract_z
Cs1 Cs 0.000 0.000 0.000
Cs2 Cs 0.469 0.500 0.636
Sr1 Sr 0.015 0.000 0.431
Sr2 Sr 0.526 0.500 0.288
N1 N 0.096 0.500 0.395
N2 N 0.888 0.500 0.464
```

Output
Energy relative to the elements, uncorrected   -155.1 meV per atom
E   -3.78 eV per atom

***

Record 3
Below is a geometry-optimized CsSrN structure, with properties calculated at the PBE-GGA level.

CIF file:
```
data_CsSrN
_cell_length_a 8.214
_cell_length_b 4.981
_cell_length_c 7.644
_cell_angle_alpha 90.00
_cell_angle_beta 90.00
_cell_angle_gamma 90.00
_symmetry_space_group_name_H-M 'P n m a'
_symmetry_Int_Tables_number 62
loop_
_symmetry_equiv_pos_as_xyz
'x,y,z'
'-x,-y,-z'
'-x+1/2,-y,z+1/2'
'x+1/2,y,-z+1/2'
'x+1/2,-y+1/2,-z+1/2'
'-x+1/2,y+1/2,z+1/2'
'-x,y+1/2,-z'
'x,-y+1/2,z'
loop_
_atom_site_label
_atom_site_type_symbol
_atom_site_fract_x
_atom_site_fract_y
_atom_site_fract_z
Cs1 Cs 0.064 0.250 0.151
Sr1 Sr 0.138 0.250 0.595
N1 N 0.167 0.750 0.388
```

Output
Energy relative to the elements, uncorrected   97.6 meV per atom
E   -3.52 eV per atom

***

Record 4
Below is a geometry-optimized CsSrN structure, with properties calculated at the PBE-GGA level.

CIF file:
```
data_CsSrN
_cell_length_a 4.275
_cell_length_b 5.133
_cell_length_c 11.152
_cell_angle_alpha 90.00
_cell_angle_beta 90.00
_cell_angle_gamma 90.00
_symmetry_space_group_name_H-M 'P m m n'
_symmetry_Int_Tables_number 59
loop_
_symmetry_equiv_pos_as_xyz
'x,y,z'
'-x,-y,-z'
'-x+1/2,-y+1/2,z'
'x+1/2,y+1/2,-z'
'x+1/2,-y,-z'
'-x+1/2,y,z'
'-x,y+1/2,-z'
'x,-y+1/2,z'
loop_
_atom_site_label
_atom_site_type_symbol
_atom_site_fract_x
_atom_site_fract_y
_atom_site_fract_z
Cs1 Cs 0.250 0.250 0.208
Sr1 Sr 0.250 0.250 0.542
N1 N 0.250 0.750 0.593
```

Output
Energy relative to the elements, uncorrected   -87.9 meV per atom
E   -3.71 eV per atom

***

Record 5
Below is a geometry-optimized CsSrN2 structure, with properties calculated at the PBE-GGA level.

CIF file:
```
data_CsSrN2
_cell_length_a 4.0341
_cell_length_b 4.0341
_cell_length_c 21.2718
_cell_angle_alpha 90.00
_cell_angle_beta 90.00
_cell_angle_gamma 120.00
_symmetry_space_group_name_H-M 'R -3 m'
_symmetry_Int_Tables_number 166
_symmetry_space_group_name_Hall '-R 3 2"'
loop_
_atom_site_label
_atom_site_type_symbol
_atom_site_fract_x
_atom_site_fract_y
_atom_site_fract_z
Cs1 Cs 0.0000 0.0000 0.0000
Sr1 Sr 0.0000 0.0000 0.5000
N1 N 0.0000 0.0000 0.1052
```

Output
Energy relative to the elements, uncorrected   829.4 meV per atom
Energy above the most stable polymorph in this dataset   0 meV/atom
E   -3.97 eV per atom

***

Record 6
Below is a geometry-optimized CsSrN2 structure, with properties calculated at the PBE-GGA level.

CIF file:
```
data_CsSrN2
_cell_length_a 5.398
_cell_length_b 5.398
_cell_length_c 15.834
_cell_angle_alpha 90.00
_cell_angle_beta 90.00
_cell_angle_gamma 90.00
_symmetry_space_group_name_H-M 'I -4 2 d'
_symmetry_Int_Tables_number 122
_symmetry_space_group_name_Hall 'I -4 2bw'
loop_
_atom_site_label
_atom_site_type_symbol
_atom_site_fract_x
_atom_site_fract_y
_atom_site_fract_z
Cs1 Cs 0.000 0.000 0.000
Sr1 Sr 0.000 0.000 0.500
N1 N 0.057 0.250 0.625
```

Output
Energy relative to the elements, uncorrected   949.1 meV per atom
Energy above the most stable polymorph in this dataset   120 meV/atom
E   -3.85 eV per atom